A relaxed structure of LiGdYSi. Source: the Alexandria database, functional PBE.

Output
V (Å³/cell): 88.27
Symmetry: F-43m, No. 216
Formation energy (no corrections) (eV per atom): -0.3708

Cell lengths 4.9978, 4.9978, 4.9978 Å; angles 60.00, 60.00, 60.00 degrees
Site moments in Bohr magnetons follow the coordinates.
Positions (direct):
Gd  0.0000  0.0000  0.0000  7.10
Li  0.2500  0.2500  0.2500  0.01
Y  0.5000  0.5000  0.5000  0.05
Si  0.7500  0.7500  0.7500  -0.03